(1)
Here is an optimized crystal structure of Ta2TcCl from the Alexandria database. Energies are from PBE.

Unit cell a=4.868 b=4.868 c=2.980 alpha=99.58 beta=99.58 gamma=98.70
Element x y z (fractional)
Ta (0.000, 0.500, 0.000)
Ta (0.500, 0.000, 0.000)
Tc (0.000, 0.000, 0.500)
Cl (0.500, 0.500, 0.500)

***

(2)
Here is an optimized crystal structure of Ta2TcCl from the Alexandria database. Energies are from PBE.

Unit cell a=3.139 b=3.139 c=7.648 alpha=90.00 beta=90.00 gamma=90.00
Element x y z (fractional)
Ta (0.000, 0.000, 0.000)
Ta (0.500, 0.500, 0.242)
Tc (0.000, 0.000, 0.420)
Cl (0.500, 0.500, 0.765)

***

| no. | ρ (g cm⁻³) | formation energy from raw total energies (eV per atom) | calculated volume (A^3/atom) |
| --- | --- | --- | --- |
| 1 | 12.2 | 0.41 | 16.876 |
| 2 | 10.9 | 0.14 | 18.839 |